No. 1
Computed, not measured: Rb2AcMg3F12 after structural relaxation at the PBE level of DFT.

## Properties
Uncorrected formation energy (eV/atom): -3.3044
Mass density (g/cm3): 4.09
Final energy (eV per atom): -5.153

Structure (CIF):
```
data_Rb2AcMg3F12
_symmetry_space_group_name_H-M 'R -3 m'
_symmetry_Int_Tables_number 166
_symmetry_space_group_name_Hall '-R 3 2"'
_cell_length_a 7.6006
_cell_length_b 7.6006
_cell_length_c 17.0162
_cell_angle_alpha 90.00
_cell_angle_beta 90.00
_cell_angle_gamma 120.00
loop_
_atom_site_label
_atom_site_fract_x
_atom_site_fract_y
_atom_site_fract_z
Rb1 0.0000 0.0000 0.1051
Ac1 0.0000 0.0000 0.5000
Mg1 0.0000 0.5000 0.0000
F1 0.0302 0.5151 0.8827
F2 0.0882 0.5441 0.3106
```

=====

No. 2
Computed, not measured: Tl6Au3Se after structural relaxation at the PBE level of DFT.

## Properties
Uncorrected formation energy (eV/atom): -0.1085
Mass density (g/cm3): 10.97
Final energy (eV per atom): -2.860

Structure (CIF):
```
data_Tl6Au3Se
_symmetry_space_group_name_H-M 'P 1 21/m 1'
_symmetry_Int_Tables_number 11
_cell_length_a 11.886
_cell_length_b 4.291
_cell_length_c 11.996
_cell_angle_alpha 90.00
_cell_angle_beta 110.21
_cell_angle_gamma 90.00
loop_
_symmetry_equiv_pos_as_xyz
'x,y,z'
'-x,-y,-z'
'-x,y+1/2,-z'
'x,-y+1/2,z'
loop_
_atom_site_label
_atom_site_fract_x
_atom_site_fract_y
_atom_site_fract_z
Tl1 0.093 0.250 0.455
Tl2 0.101 0.250 0.782
Tl3 0.109 0.250 0.114
Tl4 0.386 0.750 0.883
Tl5 0.395 0.750 0.546
Tl6 0.396 0.750 0.186
Au1 0.167 0.750 0.964
Au2 0.171 0.750 0.320
Au3 0.339 0.250 0.330
Se1 0.311 0.250 0.686
```

=====

No. 3
Computed, not measured: PPtF2 after structural relaxation at the PBE level of DFT.

## Properties
Energy above the most stable polymorph in this dataset (eV per formula unit): 0.00
Uncorrected formation energy (eV/atom): -0.8978
Mass density (g/cm3): 7.06
Final energy (eV per atom): -4.696

Structure (CIF):
```
data_PPtF2
_symmetry_space_group_name_H-M 'R -3 m'
_symmetry_Int_Tables_number 166
_symmetry_space_group_name_Hall '-R 3 2"'
_cell_length_a 2.6292
_cell_length_b 2.6292
_cell_length_c 31.1205
_cell_angle_alpha 90.00
_cell_angle_beta 90.00
_cell_angle_gamma 120.00
loop_
_atom_site_label
_atom_site_fract_x
_atom_site_fract_y
_atom_site_fract_z
P1 0.0000 0.0000 0.0000
Pt1 0.0000 0.0000 0.5000
F1 0.0000 0.0000 0.0525
```

=====

What did the third record say?
Computed, not measured: PPtF2 after structural relaxation at the PBE level of DFT.

## Properties
Energy above the most stable polymorph in this dataset (eV per formula unit): 0.00
Uncorrected formation energy (eV/atom): -0.8978
Mass density (g/cm3): 7.06
Final energy (eV per atom): -4.696

Structure (CIF):
```
data_PPtF2
_symmetry_space_group_name_H-M 'R -3 m'
_symmetry_Int_Tables_number 166
_symmetry_space_group_name_Hall '-R 3 2"'
_cell_length_a 2.6292
_cell_length_b 2.6292
_cell_length_c 31.1205
_cell_angle_alpha 90.00
_cell_angle_beta 90.00
_cell_angle_gamma 120.00
loop_
_atom_site_label
_atom_site_fract_x
_atom_site_fract_y
_atom_site_fract_z
P1 0.0000 0.0000 0.0000
Pt1 0.0000 0.0000 0.5000
F1 0.0000 0.0000 0.0525
```